The following is a PBE calculation of a geometry-optimized Ca2CeHg9 structure, from the Alexandria database.

## Properties
ΔH_f (0 K) (eV per atom): -0.336

Geometry as CIF:
```
data_Ca2CeHg9
_symmetry_space_group_name_H-M 'P 4/m m m'
_symmetry_Int_Tables_number 123
_symmetry_space_group_name_Hall '-P 4 2'
_cell_length_a 4.7144
_cell_length_b 4.7144
_cell_length_c 14.1425
_cell_angle_alpha 90.00
_cell_angle_beta 90.00
_cell_angle_gamma 90.00
loop_
_atom_site_label
_atom_site_fract_x
_atom_site_fract_y
_atom_site_fract_z
_atom_site_occupancy
Ca1 0.0000 0.0000 0.1639 1
Ce1 0.0000 0.0000 0.5000 1
Hg1 0.0000 0.5000 0.0000 1
Hg2 0.0000 0.5000 0.3330 1
Hg3 0.5000 0.5000 0.1642 1
Hg4 0.5000 0.5000 0.5000 1
```